## Zn2Hg (PBE-GGA)

Data for Zn2Hg after structural relaxation.

```
Zn2Hg
1.0
-0.859 -3.145 4.840
-0.767 3.947 4.229
-2.691 -0.410 -5.162
Zn Hg
4 2
Direct
0.822 0.678 0.500 Zn
0.678 0.178 0.856 Zn
0.322 0.822 0.144 Zn
0.178 0.322 0.500 Zn
0.250 0.250 0.000 Hg
0.750 0.750 0.000 Hg
```

M_tot = 0.000 μB per cell
total DFT energy (no corrections) = -5.3 eV/cell